The following is a DFT calculation (PBE) of a relaxed structure of Np2MnCl8.

Properties
Density of states at the Fermi level: 10.6 states/eV/cell
Total moment: 13.000 μB per formula unit
ΔE_f (raw): -1540 meV per atom

Cell and atoms, written as POSCAR:
```
Np2MnCl8
1.0
10.4903 -1.9381 0.0000
10.4903 1.9381 0.0000
-1.6022 0.0000 7.9258
Np Mn Cl
2 1 8
direct
0.1532 0.1532 0.3381
0.8468 0.8468 0.6619
0.5000 0.5000 0.0000
0.0107 0.0107 0.2121
0.2464 0.2464 0.6660
0.3771 0.3771 0.9333
0.3910 0.3910 0.4787
0.6090 0.6090 0.5213
0.6229 0.6229 0.0667
0.7536 0.7536 0.3340
0.9893 0.9893 0.7879
```